# ReNi2GeO

A geometry-optimized ReNi2GeO structure (PBE+U, the Alexandria database).

Lattice parameters (Å, degrees): 4.4190 4.8628 4.4190 90.00 90.00 90.00
Closest atoms and distances in Å follow each position.
Fractional positions:
Re 0.0000 0.0000 0.0000  4 Ni 2.21, 2 Ge 2.43
O 0.5000 0.5000 0.5000  4 Ge 3.12, 8 Ni 3.29
Ni 0.5000 0.0000 0.0000  2 Re 2.21
Ge 0.0000 0.5000 0.0000  2 Re 2.43
Ni 0.0000 0.0000 0.5000  2 Re 2.21

Values from the calculation:
Electronic total energy in eV per atom: -3.411
Space group: P4/mmm (123)